# RbZnMoF6

A geometry-optimized RbZnMoF6 structure (PBE with a Hubbard U, the Alexandria database).

Cell lengths 7.679, 7.679, 7.679 Å; angles 121.41, 119.37, 89.34 degrees
Fractional positions:
Rb  0.327  0.077  0.250
Rb  0.673  0.923  0.750
Zn  0.000  0.000  0.500
Zn  0.000  0.500  0.000
Mo  0.000  0.500  0.500
Mo  0.500  0.500  0.000
F  0.058  0.808  0.250
F  0.062  0.409  0.233
F  0.062  0.829  0.653
F  0.324  0.171  0.733
F  0.324  0.591  0.153
F  0.328  0.578  0.750
F  0.672  0.422  0.250
F  0.676  0.409  0.847
F  0.676  0.829  0.267
F  0.938  0.171  0.347
F  0.938  0.591  0.767
F  0.942  0.192  0.750

final energy = -4.858 eV/atom